(1)
NaAg2Au2: relaxed, PBE-GGA.

Lattice parameters (Å, degrees): 4.0060 4.0060 7.3074 74.09 74.09 90.00
Last column: nearest neighbours and their distance in Å.
Atoms (fractional coordinates):
Na: 0.0000 0.0000 0.0000  8 Au 3.13
Au: 0.4003 0.4003 0.1993  1 Au 2.69, 4 Ag 2.85
Au: 0.5997 0.5997 0.8007  1 Au 2.69, 4 Ag 2.85
Ag: 0.7500 0.2500 0.5000  4 Ag 2.83, 4 Au 2.85
Ag: 0.2500 0.7500 0.5000  4 Ag 2.83, 4 Au 2.85

Results
- energy (eV per atom) = -2.803
- energy of formation from the pure elements (eV/atom) = -0.088
- SG = I4/mmm, No. 139
- N(E_F) (states/eV/atom) = 0.24

***

(2)
AcDyTl4: relaxed, PBE-GGA.

Lattice parameters (Å, degrees): 6.3542 6.3542 6.3542 60.00 60.00 60.00
Last column: nearest neighbours and their distance in Å.
Atoms (fractional coordinates):
Ac: 0.2500 0.2500 0.2500  12 Tl 3.73, 4 Dy 3.89
Tl: 0.6252 0.6252 0.1243  6 Tl 3.17-3.18
Tl: 0.6252 0.1243 0.6252  6 Tl 3.17-3.18
Tl: 0.6252 0.6252 0.6252  6 Tl 3.17-3.18
Tl: 0.1243 0.6252 0.6252  6 Tl 3.17-3.18
Dy: 0.0000 0.0000 0.0000  12 Tl 3.72, 4 Ac 3.89

Results
- energy (eV per atom) = -3.144
- energy of formation from the pure elements (eV/atom) = -0.114
- SG = F-43m, No. 216
- N(E_F) (states/eV/atom) = 0.86

***

(3)
AcDyP2: relaxed, PBE-GGA.

Lattice parameters (Å, degrees): 3.6306 5.1445 5.1445 90.00 90.00 90.00
Last column: nearest neighbours and their distance in Å.
Atoms (fractional coordinates):
P: 0.0000 0.0000 0.5000  4 Ac 3.15, 4 Dy 3.15
P: 0.0000 0.5000 0.0000  4 Ac 3.15, 4 Dy 3.15
Ac: 0.5000 0.5000 0.5000  8 P 3.15
Dy: 0.5000 0.0000 0.0000  8 P 3.15

Results
- energy (eV per atom) = -5.881
- energy of formation from the pure elements (eV/atom) = -0.998
- SG = P4/mmm, No. 123
- N(E_F) (states/eV/atom) = 0.38

***

(4)
KMg2Ag: relaxed, PBE-GGA.

Lattice parameters (Å, degrees): 3.8389 5.2625 5.4577 90.00 90.00 90.00
Last column: nearest neighbours and their distance in Å.
Atoms (fractional coordinates):
Ag: 0.5000 0.0000 0.5000  4 K 3.26, 4 Mg 3.34
K: 0.0000 0.5000 0.5000  4 Ag 3.26, 4 Mg 3.34
Mg: 0.0000 0.0000 0.0000  4 Mg 3.26, 4 Ag 3.34
Mg: 0.5000 0.5000 0.0000  4 Mg 3.26, 4 K 3.34

Results
- energy (eV per atom) = -1.555
- energy of formation from the pure elements (eV/atom) = 0.230
- SG = Pmmm, No. 47
- N(E_F) (states/eV/atom) = 0.29

***

(5)
HfTaAg3: relaxed, PBE-GGA.

Lattice parameters (Å, degrees): 4.9863 4.9863 4.9863 90.00 90.00 90.00
Last column: nearest neighbours and their distance in Å.
Atoms (fractional coordinates):
Hf: 0.5000 0.5000 0.5000  12 Ag 3.53
Ag: 0.0000 0.5000 0.0000  2 Ta 2.49
Ag: 0.0000 0.0000 0.5000  2 Ta 2.49
Ag: 0.5000 0.0000 0.0000  2 Ta 2.49
Ta: 0.0000 0.0000 0.0000  6 Ag 2.49

Results
- energy (eV per atom) = -4.500
- energy of formation from the pure elements (eV/atom) = 1.572
- SG = Pm-3m, No. 221
- N(E_F) (states/eV/atom) = 1.21

***

(6)
AlRe2Te: relaxed, PBE-GGA.

Lattice parameters (Å, degrees): 4.5841 3.0814 4.6590 90.00 90.00 90.00
Last column: nearest neighbours and their distance in Å.
Atoms (fractional coordinates):
Re: 0.0000 0.8748 0.0183  2 Al 2.65, 4 Te 2.74-2.84, 4 Re 2.91
Re: 0.5000 0.3750 0.2158  4 Al 2.72-2.87, 2 Te 2.72, 4 Re 2.91
Te: 0.0000 0.3749 0.5316  6 Re 2.72-2.84, 4 Al 2.92
Al: 0.5000 0.8752 0.7343  6 Re 2.65-2.87, 4 Te 2.92

Results
- energy (eV per atom) = -7.596
- uncorrected formation energy (eV per atom) = 0.3488
- SG = Pmm2, No. 25
- N(E_F) (states/eV/atom) = 0.95

***

(7)
PrTl5Te4: relaxed, PBE-GGA.

Lattice parameters (Å, degrees): 4.7257 9.0559 10.5498 117.72 102.94 90.00
Last column: nearest neighbours and their distance in Å.
Atoms (fractional coordinates):
Pr: 0.5000 0.0000 0.0000  6 Te 3.21-3.24
Tl: 0.7939 0.6683 0.5879  3 Te 3.17-3.24
Tl: 0.8542 0.2047 0.7083  4 Te 3.23-3.59
Tl: 0.1458 0.7953 0.2917  4 Te 3.23-3.59
Tl: 0.5000 0.5000 0.0000  4 Te 3.48, 4 Tl 3.75
Tl: 0.2061 0.3317 0.4121  3 Te 3.17-3.24
Te: 0.3333 0.9432 0.6666  1 Pr 3.21, 5 Tl 3.23-3.42
Te: 0.9583 0.7243 0.9167  3 Tl 3.17-3.48, 2 Pr 3.24
Te: 0.6667 0.0568 0.3334  1 Pr 3.21, 5 Tl 3.23-3.42
Te: 0.0417 0.2757 0.0833  3 Tl 3.17-3.48, 2 Pr 3.24

Results
- energy (eV per atom) = -3.501
- uncorrected formation energy (eV per atom) = -0.5830
- SG = C2/m, No. 12

***

(8)
CdTe2BrO: relaxed, PBE-GGA.

Lattice parameters (Å, degrees): 5.8630 3.9888 5.8630 90.00 90.00 90.00
Last column: nearest neighbours and their distance in Å.
Atoms (fractional coordinates):
Te: 0.0000 0.0000 0.5000  2 Cd 2.93
Te: 0.5000 0.0000 0.0000  2 Cd 2.93
O: 0.0000 0.5000 0.0000  2 Cd 1.99
Br: 0.5000 0.5000 0.5000  8 Te 3.55
Cd: 0.0000 0.0000 0.0000  2 O 1.99

Results
- energy (eV per atom) = -2.393
- uncorrected formation energy (eV per atom) = 0.3727
- SG = P4/mmm, No. 123
- N(E_F) (states/eV/atom) = 1.41

***

(9)
InCu6Pd12: relaxed, PBE-GGA.

Lattice parameters (Å, degrees): 6.7555 7.2680 7.2680 69.14 71.95 108.05
Last column: nearest neighbours and their distance in Å.
Atoms (fractional coordinates):
In: 0.0000 0.0000 0.0000  12 Pd 2.80
Cu: 0.4245 0.4738 0.2125  9 Pd 2.69-2.79, 3 Cu 2.75-2.77
Cu: 0.0494 0.6864 0.5262  9 Pd 2.69-2.79, 3 Cu 2.75-2.77
Cu: 0.3630 0.7875 0.6864  9 Pd 2.69-2.79, 3 Cu 2.75-2.77
Cu: 0.5755 0.5262 0.7875  9 Pd 2.69-2.79, 3 Cu 2.75-2.77
Cu: 0.9506 0.3136 0.4738  9 Pd 2.69-2.79, 3 Cu 2.75-2.77
Cu: 0.6370 0.2125 0.3136  9 Pd 2.69-2.79, 3 Cu 2.75-2.77
Pd: 0.5202 0.8454 0.2717  7 Pd 2.68-2.85, 4 Cu 2.69-2.79, 1 In 2.80
Pd: 0.6748 0.8830 0.8454  7 Pd 2.68-2.85, 4 Cu 2.69-2.79, 1 In 2.80
Pd: 0.7918 0.2717 0.8830  7 Pd 2.68-2.85, 4 Cu 2.69-2.79, 1 In 2.80
Pd: 0.4798 0.1546 0.7283  7 Pd 2.68-2.85, 4 Cu 2.69-2.79, 1 In 2.80
Pd: 0.3252 0.1170 0.1546  7 Pd 2.68-2.85, 4 Cu 2.69-2.79, 1 In 2.80
Pd: 0.2082 0.7283 0.1170  7 Pd 2.68-2.85, 4 Cu 2.69-2.79, 1 In 2.80
Pd: 0.2639 0.4299 0.6245  6 Pd 2.68-2.85, 5 Cu 2.71-2.75, 1 In 2.80
Pd: 0.1117 0.3755 0.0544  6 Pd 2.68-2.85, 5 Cu 2.71-2.75, 1 In 2.80
Pd: 0.1661 0.0544 0.5701  6 Pd 2.68-2.85, 5 Cu 2.71-2.75, 1 In 2.80
Pd: 0.7361 0.5701 0.3755  6 Pd 2.68-2.85, 5 Cu 2.71-2.75, 1 In 2.80
Pd: 0.8883 0.6245 0.9456  6 Pd 2.68-2.85, 5 Cu 2.71-2.75, 1 In 2.80
Pd: 0.8339 0.9456 0.4299  6 Pd 2.68-2.85, 5 Cu 2.71-2.75, 1 In 2.80

Results
- energy (eV per atom) = -4.865
- energy of formation from the pure elements (eV/atom) = -0.147
- SG = R-3, No. 148
- N(E_F) (states/eV/atom) = 0.82

***

(10)
LiGePBr: relaxed, PBE-GGA.

Lattice parameters (Å, degrees): 3.7550 3.7681 7.3435 76.53 75.13 60.10
Last column: nearest neighbours and their distance in Å.
Atoms (fractional coordinates):
P: 0.9781 0.9646 0.6550  3 Ge 2.42
Ge: 0.2558 0.2582 0.8051  3 P 2.42
Br: 0.4572 0.4826 0.1707  3 Li 2.49-2.50
Li: 0.7247 0.7721 0.3457  3 Br 2.49-2.50

Results
- energy (eV per atom) = -3.947
- uncorrected formation energy (eV per atom) = -0.5438
- SG = P1, No. 1
- N(E_F) (states/eV/atom) = 0.16

***

(11)
NiGeBr: relaxed, PBE-GGA.

Lattice parameters (Å, degrees): 3.6401 3.6402 11.1844 81.35 80.73 59.99
Last column: nearest neighbours and their distance in Å.
Atoms (fractional coordinates):
Ni: 0.4819 0.7014 0.3186  6 Ge 2.41-2.46, 1 Ni 2.50
Ni: 0.5617 0.7665 0.0916  3 Ge 2.43, 1 Ni 2.50, 3 Br 2.51
Ge: 0.1110 0.3370 0.4265  1 Br 2.31, 3 Ni 2.41
Ge: 0.8561 0.0681 0.2025  6 Ni 2.43-2.46
Br: 0.2725 0.4690 0.9665  3 Ni 2.51
Br: 0.0363 0.2791 0.6369  1 Ge 2.31

Results
- energy (eV per atom) = -4.314
- uncorrected formation energy (eV per atom) = -0.2904
- SG = P1, No. 1
- N(E_F) (states/eV/atom) = 0.28

***

(12)
Li2InMo: relaxed, PBE-GGA.

Lattice parameters (Å, degrees): 5.2752 5.2752 5.2752 135.95 135.95 64.05
Last column: nearest neighbours and their distance in Å.
Atoms (fractional coordinates):
In: 0.7500 0.2500 0.5000  4 Mo 2.80, 8 Li 2.99
Li: 0.0000 0.0000 0.0000  4 Li 2.80, 4 In 2.99, 4 Mo 2.99
Li: 0.5000 0.5000 0.0000  4 Li 2.80, 4 Mo 2.99, 4 In 2.99
Mo: 0.2500 0.7500 0.5000  4 In 2.80, 8 Li 2.99

Results
- energy (eV per atom) = -3.981
- energy of formation from the pure elements (eV/atom) = 0.368
- SG = I4/mmm, No. 139
- N(E_F) (states/eV/atom) = 0.86

***

(13)
La2InBr: relaxed, PBE-GGA.

Lattice parameters (Å, degrees): 3.6727 3.6727 8.6667 90.00 90.00 90.00
Last column: nearest neighbours and their distance in Å.
Atoms (fractional coordinates):
In: 0.5000 0.5000 0.7500  8 La 3.36, 4 In 3.67
Br: 0.5000 0.5000 0.2500  8 La 3.41, 4 Br 3.67
La: 0.0000 0.0000 0.9952  4 In 3.36, 4 Br 3.41, 4 La 3.67
La: 0.0000 0.0000 0.5048  4 In 3.36, 4 Br 3.41, 4 La 3.67

Results
- energy (eV per atom) = -4.446
- uncorrected formation energy (eV per atom) = -0.8798
- SG = P4/mmm, No. 123
- N(E_F) (states/eV/atom) = 0.68

***

(14)
Er4Pd3Pt3: relaxed, PBE-GGA.

Lattice parameters (Å, degrees): 8.0968 8.0968 8.0967 109.47 109.47 109.47
Last column: nearest neighbours and their distance in Å.
Atoms (fractional coordinates):
Er: 0.0000 0.0000 0.2560  3 Pt 2.84, 3 Pd 2.89
Er: 0.5000 0.2560 0.5000  3 Pt 2.84, 3 Pd 2.89
Er: 0.7440 0.2440 0.2440  3 Pt 2.84, 3 Pd 2.89
Er: 0.0000 0.0000 0.7560  3 Pt 2.84, 3 Pd 2.89
Er: 0.7560 0.5000 0.0000  3 Pt 2.84, 3 Pd 2.89
Er: 0.5000 0.7560 0.5000  3 Pt 2.84, 3 Pd 2.89
Er: 0.2560 0.5000 0.0000  3 Pt 2.84, 3 Pd 2.89
Er: 0.2440 0.7440 0.7440  3 Pt 2.84, 3 Pd 2.89
Pd: 0.6250 0.7500 0.8750  4 Pt 2.86, 4 Er 2.89
Pd: 0.8750 0.2500 0.6250  4 Pt 2.86, 4 Er 2.89
Pd: 0.1250 0.3750 0.2500  4 Pt 2.86, 4 Er 2.89
Pd: 0.3750 0.1250 0.7500  4 Pt 2.86, 4 Er 2.89
Pd: 0.2500 0.8750 0.1250  4 Pt 2.86, 4 Er 2.89
Pd: 0.7500 0.6250 0.3750  4 Pt 2.86, 4 Er 2.89
Pt: 0.1250 0.7500 0.3750  4 Er 2.84, 4 Pd 2.86
Pt: 0.3750 0.2500 0.1250  4 Er 2.84, 4 Pd 2.86
Pt: 0.6250 0.8750 0.2500  4 Er 2.84, 4 Pd 2.86
Pt: 0.8750 0.6250 0.7500  4 Er 2.84, 4 Pd 2.86
Pt: 0.2500 0.3750 0.6250  4 Er 2.84, 4 Pd 2.86
Pt: 0.7500 0.1250 0.8750  4 Er 2.84, 4 Pd 2.86

Results
- energy (eV per atom) = -6.074
- energy of formation from the pure elements (eV/atom) = -0.879
- SG = I-43d, No. 220
- N(E_F) (states/eV/atom) = 0.29

***

(15)
SrPrInHg: relaxed, PBE-GGA.

Lattice parameters (Å, degrees): 3.9003 3.9003 8.1732 90.00 90.00 90.00
Last column: nearest neighbours and their distance in Å.
Atoms (fractional coordinates):
Sr: 0.0000 0.0000 0.8516  4 Hg 3.48, 4 In 3.54
Pr: 0.0000 0.0000 0.3618  4 Hg 3.34, 4 In 3.38
In: 0.5000 0.5000 0.1229  4 Pr 3.38, 4 Sr 3.54
Hg: 0.5000 0.5000 0.5916  4 Pr 3.34, 4 Sr 3.48

Results
- energy (eV per atom) = -2.860
- energy of formation from the pure elements (eV/atom) = -0.484
- SG = P4mm, No. 99
- N(E_F) (states/eV/atom) = 0.61

***

(16)
ScOs2Cl: relaxed, PBE-GGA.

Lattice parameters (Å, degrees): 2.9822 4.4826 5.0771 90.00 90.00 90.00
Last column: nearest neighbours and their distance in Å.
Atoms (fractional coordinates):
Cl: 0.5000 0.5000 0.7500  2 Sc 2.54
Os: 0.0000 0.0000 0.0169  1 Os 2.37
Os: 0.0000 0.0000 0.4831  1 Os 2.37
Sc: 0.5000 0.5000 0.2500  2 Cl 2.54

Results
- energy (eV per atom) = -7.191
- uncorrected formation energy (eV per atom) = 0.4686
- SG = Pmmm, No. 47
- N(E_F) (states/eV/atom) = 0.84

***

(17)
MgTlRe: relaxed, PBE-GGA.

Lattice parameters (Å, degrees): 5.4341 5.4341 5.4341 143.67 143.67 52.32
Last column: nearest neighbours and their distance in Å.
Atoms (fractional coordinates):
Mg: 0.9861 0.9861 0.0000  4 Re 2.79, 5 Tl 3.02-3.04
Re: 0.3392 0.3392 0.0000  4 Mg 2.79, 4 Tl 2.88
Tl: 0.6747 0.6747 0.0000  4 Re 2.88, 5 Mg 3.02-3.04

Results
- energy (eV per atom) = -4.693
- energy of formation from the pure elements (eV/atom) = 0.776
- SG = I4mm, No. 107
- N(E_F) (states/eV/atom) = 0.76

***

(18)
Ca2ZnHPb: relaxed, PBE-GGA.

Lattice parameters (Å, degrees): 4.8492 4.8492 4.5511 90.00 90.00 90.00
Last column: nearest neighbours and their distance in Å.
Atoms (fractional coordinates):
Pb: 0.5000 0.5000 0.5000  8 Ca 3.33, 4 Zn 3.43
H: 0.0000 0.0000 0.0000  2 Zn 2.28, 4 Ca 2.42
Zn: 0.0000 0.0000 0.5000  2 H 2.28
Ca: 0.0000 0.5000 0.0000  2 H 2.42
Ca: 0.5000 0.0000 0.0000  2 H 2.42

Results
- energy (eV per atom) = -2.808
- SG = P4/mmm, No. 123
- N(E_F) (states/eV/atom) = 0.32

***

(19)
SbPt2Br: relaxed, PBE-GGA.

Lattice parameters (Å, degrees): 4.1773 4.8287 4.8197 66.19 90.00 90.00
Last column: nearest neighbours and their distance in Å.
Atoms (fractional coordinates):
Sb: 0.0000 0.4370 0.4373  4 Pt 2.61-2.75
Br: 0.5000 0.7873 0.7871  4 Pt 2.66-2.88
Pt: 0.0000 0.0329 0.0332  2 Pt 2.69, 2 Sb 2.74-2.75, 2 Br 2.88
Pt: 0.5000 0.2428 0.2424  2 Sb 2.61, 2 Br 2.66, 2 Pt 2.69

Results
- energy (eV per atom) = -4.493
- uncorrected formation energy (eV per atom) = -0.0233
- SG = Amm2, No. 38
- N(E_F) (states/eV/atom) = 0.48

***

(20)
La3Pr2Y13: relaxed, PBE-GGA.

Lattice parameters (Å, degrees): 6.5966 6.5966 17.3689 90.00 90.00 120.00
Last column: nearest neighbours and their distance in Å.
Atoms (fractional coordinates):
La: 0.0000 0.0000 0.3317  6 Y 3.81
La: 0.0000 0.0000 0.6683  6 Y 3.81
La: 0.0000 0.0000 0.0000  6 Pr 3.81
Pr: 0.3333 0.6667 0.0000  6 Y 3.49, 3 Pr 3.81, 3 La 3.81
Pr: 0.6667 0.3333 0.0000  6 Y 3.49, 3 Pr 3.81, 3 La 3.81
Y: 0.5000 0.0000 0.5000  8 Y 3.30-3.45
Y: 0.0000 0.5000 0.5000  8 Y 3.30-3.45
Y: 0.5000 0.5000 0.5000  8 Y 3.30-3.45
Y: 0.3333 0.6667 0.3344  9 Y 3.45-3.81, 3 La 3.81
Y: 0.6667 0.3333 0.6656  9 Y 3.45-3.81, 3 La 3.81
Y: 0.6667 0.3333 0.3344  9 Y 3.45-3.81, 3 La 3.81
Y: 0.3333 0.6667 0.6656  9 Y 3.45-3.81, 3 La 3.81
Y: 0.5000 0.0000 0.1687  6 Y 3.30-3.45, 2 Pr 3.49
Y: 0.5000 0.0000 0.8313  6 Y 3.30-3.45, 2 Pr 3.49
Y: 0.0000 0.5000 0.1687  6 Y 3.30-3.45, 2 Pr 3.49
Y: 0.0000 0.5000 0.8313  6 Y 3.30-3.45, 2 Pr 3.49
Y: 0.5000 0.5000 0.1687  6 Y 3.30-3.45, 2 Pr 3.49
Y: 0.5000 0.5000 0.8313  6 Y 3.30-3.45, 2 Pr 3.49

Results
- energy (eV per atom) = -5.730
- energy of formation from the pure elements (eV/atom) = 0.290
- SG = P6/mmm, No. 191
- N(E_F) (states/eV/atom) = 1.45